1.
# CoMo2Ru meta-GGA SCAN PBEsol geometry
data_CoMo2Ru
_cell_length_a 3.0921
_cell_length_b 3.0921
_cell_length_c 5.6998
_cell_angle_alpha 90.00
_cell_angle_beta 90.00
_cell_angle_gamma 90.00
_symmetry_space_group_name_H-M 'P 4 m m'
_symmetry_Int_Tables_number 99
loop_
_symmetry_equiv_pos_as_xyz
'x,y,z'
'-y,x,z'
'-x,-y,z'
'y,-x,z'
'-x,y,z'
'y,x,z'
'x,-y,z'
'-y,-x,z'
loop_
_atom_site_label
_atom_site_fract_x
_atom_site_fract_y
_atom_site_fract_z
Co1 0.0000 0.0000 0.0000
Mo1 0.0000 0.0000 0.4822
Mo2 0.5000 0.5000 0.1846
Ru1 0.5000 0.5000 0.7303
# E_tot: -30.261 eV/atom
# distance to the lowest polymorph of the same formula: 9.5 kJ/mol of atoms
# M_tot: 0.00 μB/cell
# N(E_F): 2.89 states/eV per cell

=====

2.
# CoMo2Ru meta-GGA SCAN PBEsol geometry
data_CoMo2Ru
_cell_length_a 6.0210
_cell_length_b 6.0210
_cell_length_c 6.0210
_cell_angle_alpha 90.00
_cell_angle_beta 90.00
_cell_angle_gamma 90.00
_symmetry_space_group_name_H-M 'F -4 3 m'
_symmetry_Int_Tables_number 216
_symmetry_space_group_name_Hall 'F -4 2 3'
loop_
_atom_site_label
_atom_site_fract_x
_atom_site_fract_y
_atom_site_fract_z
Co1 0.0000 0.0000 0.0000
Mo1 0.0000 0.0000 0.5000
Mo2 0.2500 0.2500 0.2500
Ru1 0.2500 0.2500 0.7500
# E_tot: -30.280 eV/atom
# distance to the lowest polymorph of the same formula: 7.6 kJ/mol of atoms
# M_tot: 9.18 μB/cell
# N(E_F): 15.73 states/eV per cell

=====

3.
# CoMo2Ru meta-GGA SCAN PBEsol geometry
data_CoMo2Ru
_cell_length_a 3.7905
_cell_length_b 3.7905
_cell_length_c 7.4619
_cell_angle_alpha 90.00
_cell_angle_beta 90.00
_cell_angle_gamma 90.00
_symmetry_space_group_name_H-M 'I 4/m m m'
_symmetry_Int_Tables_number 139
_symmetry_space_group_name_Hall '-I 4 2'
loop_
_atom_site_label
_atom_site_fract_x
_atom_site_fract_y
_atom_site_fract_z
Co1 0.0000 0.0000 0.0000
Mo1 0.0000 0.5000 0.2500
Ru1 0.0000 0.0000 0.5000
# E_tot: -30.357 eV/atom
# distance to the lowest polymorph of the same formula: 0.3 kJ/mol of atoms
# M_tot: 0.86 μB/cell
# N(E_F): 6.91 states/eV per cell

=====

4.
# Co4MoRu meta-GGA SCAN PBEsol geometry
data_Co4MoRu
_cell_length_a 6.4805
_cell_length_b 6.4805
_cell_length_c 6.4805
_cell_angle_alpha 90.00
_cell_angle_beta 90.00
_cell_angle_gamma 90.00
_symmetry_space_group_name_H-M 'F -4 3 m'
_symmetry_Int_Tables_number 216
_symmetry_space_group_name_Hall 'F -4 2 3'
loop_
_atom_site_label
_atom_site_fract_x
_atom_site_fract_y
_atom_site_fract_z
Co1 0.1246 0.1246 0.1246
Mo1 0.0000 0.0000 0.5000
Ru1 0.2500 0.2500 0.7500
# E_tot: -23.065 eV/atom
# M_tot: 29.40 μB/cell
# N(E_F): 17.31 states/eV per cell

=====

5.
# CoMo2Ru meta-GGA SCAN PBEsol geometry
data_CoMo2Ru
_cell_length_a 3.7847
_cell_length_b 3.7847
_cell_length_c 3.7367
_cell_angle_alpha 90.00
_cell_angle_beta 90.00
_cell_angle_gamma 90.00
_symmetry_space_group_name_H-M 'P 4/m m m'
_symmetry_Int_Tables_number 123
_symmetry_space_group_name_Hall '-P 4 2'
loop_
_atom_site_label
_atom_site_fract_x
_atom_site_fract_y
_atom_site_fract_z
Co1 0.0000 0.0000 0.0000
Mo1 0.0000 0.5000 0.5000
Ru1 0.5000 0.5000 0.0000
# E_tot: -30.359 eV/atom
# distance to the lowest polymorph of the same formula: 0.0 kJ/mol of atoms
# M_tot: 0.70 μB/cell
# N(E_F): 3.52 states/eV per cell

=====

6.
# CoMo2Ru meta-GGA SCAN PBEsol geometry
data_CoMo2Ru
_cell_length_a 2.6894
_cell_length_b 2.6894
_cell_length_c 26.0300
_cell_angle_alpha 90.00
_cell_angle_beta 90.00
_cell_angle_gamma 120.00
_symmetry_space_group_name_H-M 'R -3 m'
_symmetry_Int_Tables_number 166
_symmetry_space_group_name_Hall '-R 3 2"'
loop_
_atom_site_label
_atom_site_fract_x
_atom_site_fract_y
_atom_site_fract_z
Co1 0.0000 0.0000 0.0000
Mo1 0.0000 0.0000 0.2526
Ru1 0.0000 0.0000 0.5000
# E_tot: -30.197 eV/atom
# distance to the lowest polymorph of the same formula: 15.6 kJ/mol of atoms
# M_tot: 4.78 μB/cell
# N(E_F): 10.16 states/eV per cell

=====

7.
# CoMo2S4 meta-GGA SCAN PBEsol geometry
data_CoMo2S4
_cell_length_a 12.1422
_cell_length_b 3.1564
_cell_length_c 5.8445
_cell_angle_alpha 90.00
_cell_angle_beta 114.79
_cell_angle_gamma 90.00
_symmetry_space_group_name_H-M 'C 1 2/m 1'
_symmetry_Int_Tables_number 12
loop_
_symmetry_equiv_pos_as_xyz
'x,y,z'
'-x,-y,-z'
'-x,y,-z'
'x,-y,z'
'x+1/2,y+1/2,z'
'-x+1/2,-y+1/2,-z'
'-x+1/2,y+1/2,-z'
'x+1/2,-y+1/2,z'
loop_
_atom_site_label
_atom_site_fract_x
_atom_site_fract_y
_atom_site_fract_z
Co1 0.0000 0.0000 0.0000
Mo1 0.2386 0.5000 0.6834
S1 0.0956 0.0000 0.4263
S2 0.1316 0.5000 0.9750
# E_tot: -18.632 eV/atom
# raw formation energy: -0.691 eV per atom
# M_tot: 1.39 μB/cell
# N(E_F): 4.86 states/eV per cell

=====

8.
# CoSbMo3 meta-GGA SCAN PBEsol geometry
data_CoSbMo3
_cell_length_a 4.7906
_cell_length_b 4.7906
_cell_length_c 4.7906
_cell_angle_alpha 90.00
_cell_angle_beta 90.00
_cell_angle_gamma 90.00
_symmetry_space_group_name_H-M 'P m -3 m'
_symmetry_Int_Tables_number 221
_symmetry_space_group_name_Hall '-P 4 2 3'
loop_
_atom_site_label
_atom_site_fract_x
_atom_site_fract_y
_atom_site_fract_z
Co1 0.0000 0.0000 0.0000
Sb1 0.5000 0.5000 0.5000
Mo1 0.0000 0.5000 0.5000
# E_tot: -29.383 eV/atom
# raw formation energy: 2.461 eV per atom
# M_tot: 1.11 μB/cell
# N(E_F): 5.91 states/eV per cell

=====

9.
# CoSbTe2Mo meta-GGA SCAN PBEsol geometry
data_CoSbTe2Mo
_cell_length_a 4.9685
_cell_length_b 4.9685
_cell_length_c 4.6652
_cell_angle_alpha 90.00
_cell_angle_beta 90.00
_cell_angle_gamma 90.00
_symmetry_space_group_name_H-M 'P 4/m m m'
_symmetry_Int_Tables_number 123
_symmetry_space_group_name_Hall '-P 4 2'
loop_
_atom_site_label
_atom_site_fract_x
_atom_site_fract_y
_atom_site_fract_z
Co1 0.0000 0.0000 0.0000
Sb1 0.0000 0.0000 0.5000
Te1 0.0000 0.5000 0.0000
Mo1 0.5000 0.5000 0.5000
# E_tot: -31.935 eV/atom
# raw formation energy: 0.856 eV per atom
# M_tot: 2.40 μB/cell
# N(E_F): 2.36 states/eV per cell

=====

10.
# Co2SbMoW meta-GGA SCAN PBEsol geometry
data_Co2SbMoW
_cell_length_a 4.3486
_cell_length_b 4.3486
_cell_length_c 4.9002
_cell_angle_alpha 90.00
_cell_angle_beta 90.00
_cell_angle_gamma 90.00
_symmetry_space_group_name_H-M 'P 4/m m m'
_symmetry_Int_Tables_number 123
_symmetry_space_group_name_Hall '-P 4 2'
loop_
_atom_site_label
_atom_site_fract_x
_atom_site_fract_y
_atom_site_fract_z
Co1 0.0000 0.5000 0.0000
Sb1 0.0000 0.0000 0.0000
Mo1 0.5000 0.5000 0.5000
W1 0.0000 0.0000 0.5000
# E_tot: -33.254 eV/atom
# raw formation energy: 2.035 eV per atom
# M_tot: 3.16 μB/cell
# N(E_F): 3.85 states/eV per cell

=====

11.
# ZrCoSb2Mo meta-GGA SCAN PBEsol geometry
data_ZrCoSb2Mo
_cell_length_a 4.7391
_cell_length_b 4.7391
_cell_length_c 4.5570
_cell_angle_alpha 90.00
_cell_angle_beta 90.00
_cell_angle_gamma 90.00
_symmetry_space_group_name_H-M 'P 4/m m m'
_symmetry_Int_Tables_number 123
_symmetry_space_group_name_Hall '-P 4 2'
loop_
_atom_site_label
_atom_site_fract_x
_atom_site_fract_y
_atom_site_fract_z
Zr1 0.0000 0.0000 0.0000
Co1 0.0000 0.0000 0.5000
Sb1 0.0000 0.5000 0.5000
Mo1 0.5000 0.5000 0.0000
# E_tot: -30.814 eV/atom
# raw formation energy: 0.668 eV per atom
# M_tot: 2.21 μB/cell
# N(E_F): 3.62 states/eV per cell

=====

12.
# Co3MoSe meta-GGA SCAN PBEsol geometry
data_Co3MoSe
_cell_length_a 4.1988
_cell_length_b 4.1988
_cell_length_c 4.1988
_cell_angle_alpha 90.00
_cell_angle_beta 90.00
_cell_angle_gamma 90.00
_symmetry_space_group_name_H-M 'P m -3 m'
_symmetry_Int_Tables_number 221
_symmetry_space_group_name_Hall '-P 4 2 3'
loop_
_atom_site_label
_atom_site_fract_x
_atom_site_fract_y
_atom_site_fract_z
Co1 0.0000 0.0000 0.5000
Mo1 0.5000 0.5000 0.5000
Se1 0.0000 0.0000 0.0000
# E_tot: -20.342 eV/atom
# raw formation energy: 1.034 eV per atom
# M_tot: 6.95 μB/cell
# N(E_F): 3.43 states/eV per cell

=====

13.
# Co2MoSe meta-GGA SCAN PBEsol geometry
data_Co2MoSe
_cell_length_a 5.9001
_cell_length_b 5.9001
_cell_length_c 5.9001
_cell_angle_alpha 90.00
_cell_angle_beta 90.00
_cell_angle_gamma 90.00
_symmetry_space_group_name_H-M 'F m -3 m'
_symmetry_Int_Tables_number 225
_symmetry_space_group_name_Hall '-F 4 2 3'
loop_
_atom_site_label
_atom_site_fract_x
_atom_site_fract_y
_atom_site_fract_z
Co1 0.2500 0.2500 0.2500
Mo1 0.0000 0.0000 0.0000
Se1 0.0000 0.0000 0.5000
# E_tot: -21.778 eV/atom
# raw formation energy: 0.615 eV per atom
# M_tot: 18.66 μB/cell
# N(E_F): 10.00 states/eV per cell

=====

14.
# CoMo2Se meta-GGA SCAN PBEsol geometry
data_CoMo2Se
_cell_length_a 2.8549
_cell_length_b 2.8549
_cell_length_c 24.1575
_cell_angle_alpha 90.00
_cell_angle_beta 90.00
_cell_angle_gamma 120.00
_symmetry_space_group_name_H-M 'R -3 m'
_symmetry_Int_Tables_number 166
_symmetry_space_group_name_Hall '-R 3 2"'
loop_
_atom_site_label
_atom_site_fract_x
_atom_site_fract_y
_atom_site_fract_z
Co1 0.0000 0.0000 0.0000
Mo1 0.0000 0.0000 0.2514
Se1 0.0000 0.0000 0.5000
# E_tot: -26.315 eV/atom
# raw formation energy: 0.473 eV per atom
# M_tot: 4.29 μB/cell
# N(E_F): 11.08 states/eV per cell

=====

15.
# CoMo2Se meta-GGA SCAN PBEsol geometry
data_CoMo2Se
_cell_length_a 3.6938
_cell_length_b 3.6938
_cell_length_c 8.1520
_cell_angle_alpha 90.00
_cell_angle_beta 90.00
_cell_angle_gamma 90.00
_symmetry_space_group_name_H-M 'I 4/m m m'
_symmetry_Int_Tables_number 139
_symmetry_space_group_name_Hall '-I 4 2'
loop_
_atom_site_label
_atom_site_fract_x
_atom_site_fract_y
_atom_site_fract_z
Co1 0.0000 0.0000 0.0000
Mo1 0.0000 0.5000 0.2500
Se1 0.0000 0.0000 0.5000
# E_tot: -26.315 eV/atom
# raw formation energy: 0.473 eV per atom
# M_tot: 2.33 μB/cell
# N(E_F): 4.97 states/eV per cell